Entry 1:
The following is a PBE calculation of a relaxed structure of Ca5Mg4Hg, from the Alexandria database.

The calculation puts the formation energy at -0.18 eV/atom. As for the volume: 30.219 A^3/atom. The crystal system is tetragonal. The calculation puts the magnetic moment at 0.000 μB per formula unit. The symmetry is P4/mmm.

Cell and atoms, written as POSCAR:
```
Ca5Mg4Hg
1.0
3.8949 0.0000 0.0000
0.0000 3.8949 0.0000
0.0000 0.0000 19.9194
Ca Mg Hg
5 4 1
direct
0.5000 0.5000 0.0905 Ca
0.5000 0.5000 0.2956 Ca
0.5000 0.5000 0.5000 Ca
0.5000 0.5000 0.7044 Ca
0.5000 0.5000 0.9095 Ca
0.0000 0.0000 0.1947 Mg
0.0000 0.0000 0.3977 Mg
0.0000 0.0000 0.6023 Mg
0.0000 0.0000 0.8053 Mg
0.0000 0.0000 0.0000 Hg
```

---

Entry 2:
The following is a PBE calculation of a relaxed structure of NaSiOsPt2, from the Alexandria database.

The calculation puts the formation energy from raw total energies at 2.01 eV per atom. The distance to the lowest polymorph of the same formula comes out at 1435.6 meV/atom. As for the volume: 17.741 A^3/atom. The crystal system is tetragonal. The calculation puts the magnetic moment at 0.000 μB per formula unit. The symmetry is P4/mmm.

Cell and atoms, written as POSCAR:
```
NaSiOsPt2
1.0
4.4623 0.0000 0.0000
0.0000 4.4549 0.0000
0.0000 0.0000 4.4623
Na Si Os Pt
1 1 1 2
direct
0.0000 0.0000 0.0000 Na
0.0000 0.5000 0.0000 Si
0.5000 0.5000 0.5000 Os
0.0000 0.0000 0.5000 Pt
0.5000 0.0000 0.0000 Pt
```

---

Entry 3:
The following is a PBE calculation of a relaxed structure of KRuBr4, from the Alexandria database.

The calculation puts the formation energy from raw total energies at 0.62 eV per atom. The distance to the lowest polymorph of the same formula comes out at 1307.2 meV/atom. As for the volume: 31.796 A^3/atom. The crystal system is cubic. The calculation puts the magnetic moment at 4.418 μB per formula unit. The symmetry is F-43m.

Cell and atoms, written as POSCAR:
```
KRuBr4
1.0
-0.7010 -5.8921 2.5584
2.6600 -1.3732 5.7264
-3.7574 -0.8431 5.1889
K Ru Br
1 1 4
direct
0.7500 0.7500 0.7500 K
0.0000 0.0000 0.0000 Ru
0.8771 0.3743 0.3743 Br
0.3743 0.3743 0.8771 Br
0.3743 0.8771 0.3743 Br
0.3743 0.3743 0.3743 Br
```

---

Entry 4:
The following is a PBE calculation of a relaxed structure of Na5B7C3, from the Alexandria database.

The distance to the lowest polymorph of the same formula comes out at 13.1 meV/atom. The calculation puts the formation energy at 0.13 eV/atom. As for the volume: 10.374 A^3/atom. The crystal system is monoclinic. The calculation puts the magnetic moment at 0.000 μB per formula unit. The symmetry is Cm.

Cell and atoms, written as POSCAR:
```
Na5B7C3
1.0
8.5276 0.2172 -3.0188
7.9869 2.9962 -3.0188
-0.7906 -0.1538 13.3570
Na B C
10 14 6
direct
0.9985 0.9985 0.9973 Na
0.1998 0.1998 0.8969 Na
0.1995 0.1995 0.4025 Na
0.4024 0.4024 0.3001 Na
0.3988 0.3988 0.7994 Na
0.6014 0.6014 0.6999 Na
0.5975 0.5975 0.2002 Na
0.7997 0.7997 0.0970 Na
0.7987 0.7987 0.6026 Na
0.0025 0.0025 0.5017 Na
0.6265 0.6265 0.0009 B
0.8313 0.8313 0.9105 B
0.5594 0.5594 0.8674 B
0.8354 0.8354 0.4220 B
0.9674 0.9674 0.1846 B
0.0393 0.0393 0.3295 B
0.7717 0.7717 0.2946 B
0.2337 0.2337 0.7174 B
0.9675 0.9675 0.6848 B
0.2290 0.2290 0.2096 B
0.4268 0.4268 0.1025 B
0.1651 0.1651 0.0799 B
0.6361 0.6361 0.5240 B
0.3766 0.3766 0.5042 B
0.7663 0.7663 0.7814 C
0.0298 0.0298 0.8085 C
0.1680 0.1680 0.5882 C
0.3639 0.3639 0.9751 C
0.4368 0.4368 0.6239 C
0.5709 0.5709 0.3937 C
```

---

Entry 5:
The following is a PBE calculation of a relaxed structure of La8Ge3S4Cl, from the Alexandria database.

The calculation puts the formation energy from raw total energies at -1.64 eV per atom. As for the volume: 27.667 A^3/atom. The crystal system is trigonal. The calculation puts the magnetic moment at 0.000 μB per formula unit. The symmetry is R-3m.

Cell and atoms, written as POSCAR:
```
La8Ge3S4Cl
1.0
8.5833 0.0000 0.0000
0.0000 8.5261 -0.0468
-4.2916 -4.2873 6.0726
La Ge S Cl
8 3 4 1
direct
0.2557 0.7557 0.0000 La
0.2557 0.7557 0.5114 La
0.2489 0.2466 0.4977 La
0.7443 0.7557 0.0000 La
0.2557 0.2443 0.0000 La
0.7511 0.7534 0.5023 La
0.7443 0.2443 0.4886 La
0.7443 0.2443 0.0000 La
0.5000 0.5000 0.0000 Ge
0.5000 0.5000 0.5000 Ge
0.0000 0.5000 0.5000 Ge
0.5000 0.0000 0.0000 S
0.5000 0.0000 0.5000 S
0.0000 0.0000 0.0000 S
0.0000 0.0000 0.5000 S
0.0000 0.5000 0.0000 Cl
```

---

Entry 6:
The following is a PBE calculation of a relaxed structure of LaTeAu, from the Alexandria database.

The calculation puts the formation energy from raw total energies at -1.16 eV per atom. As for the volume: 29.350 A^3/atom. The crystal system is monoclinic. The calculation puts the magnetic moment at 0.000 μB per formula unit. The symmetry is C2/m.

Cell and atoms, written as POSCAR:
```
LaTeAu
1.0
-4.2435 0.0732 1.5230
-0.0373 -4.5076 0.1104
2.9605 0.2091 8.1369
Te La Au
2 2 2
direct
0.7486 0.7486 0.3539 Te
0.2514 0.2514 0.6461 Te
0.7523 0.7523 0.7409 La
0.2477 0.2477 0.2591 La
0.7473 0.2527 0.0000 Au
0.2527 0.7473 0.0000 Au
```

---

Entry 7:
The following is a PBE calculation of a relaxed structure of TeMoOs2, from the Alexandria database.

The calculation puts the formation energy from raw total energies at 0.70 eV per atom. As for the volume: 16.148 A^3/atom. The crystal system is tetragonal. The calculation puts the magnetic moment at 0.000 μB per formula unit. The symmetry is I-4m2.

Cell and atoms, written as POSCAR:
```
TeMoOs2
1.0
4.9144 -0.0001 0.0000
1.6390 4.6330 0.0000
-3.2767 -2.3165 2.8369
Mo Os Te
1 2 1
direct
0.7500 0.2500 0.5000 Mo
0.0000 0.0000 0.0000 Os
0.2500 0.7500 0.5000 Os
0.5000 0.5000 0.0000 Te
```

---

Entry 8:
The following is a PBE calculation of a relaxed structure of PrPa2Pd9, from the Alexandria database.

The calculation puts the formation energy at -0.75 eV/atom. As for the volume: 18.269 A^3/atom. The crystal system is tetragonal. The calculation puts the magnetic moment at 1.270 μB per formula unit. The symmetry is P4/mmm.

Cell and atoms, written as POSCAR:
```
PrPa2Pd9
1.0
4.1819 0.0000 0.0000
0.0000 4.1819 0.0000
0.0000 0.0000 12.5355
Pr Pa Pd
1 2 9
direct
0.0000 0.0000 0.0000 Pr
0.0000 0.0000 0.3334 Pa
0.0000 0.0000 0.6666 Pa
0.5000 0.5000 0.0000 Pd
0.5000 0.5000 0.3362 Pd
0.5000 0.5000 0.6638 Pd
0.5000 0.0000 0.1745 Pd
0.5000 0.0000 0.5000 Pd
0.5000 0.0000 0.8255 Pd
0.0000 0.5000 0.1745 Pd
0.0000 0.5000 0.5000 Pd
0.0000 0.5000 0.8255 Pd
```

---

Entry 9:
The following is a PBE calculation of a relaxed structure of Li4MgSc, from the Alexandria database.

The calculation puts the formation energy at 0.06 eV/atom. As for the volume: 19.740 A^3/atom. The crystal system is cubic. The calculation puts the magnetic moment at 0.000 μB per formula unit. The symmetry is F-43m.

Cell and atoms, written as POSCAR:
```
Li4MgSc
1.0
-0.9599 4.9161 2.3014
-5.1566 1.9142 0.3619
-2.4880 0.3064 4.9094
Li Mg Sc
4 1 1
direct
0.6245 0.1266 0.6245 Li
0.1266 0.6245 0.6245 Li
0.6245 0.6245 0.6245 Li
0.6245 0.6245 0.1266 Li
0.2500 0.2500 0.2500 Mg
0.0000 0.0000 0.0000 Sc
```

---

Entry 10:
The following is a PBE calculation of a relaxed structure of ScC3, from the Alexandria database.

The distance to the lowest polymorph of the same formula comes out at 1769.5 meV/atom. The calculation puts the formation energy at 2.02 eV/atom. As for the volume: 9.430 A^3/atom. The crystal system is tetragonal. The calculation puts the magnetic moment at 0.000 μB per formula unit. The symmetry is I4/mmm.

Cell and atoms, written as POSCAR:
```
ScC3
1.0
-0.2040 4.3089 1.3936
0.8817 1.2266 4.2741
1.7623 -2.5036 -3.3431
Sc C
1 3
direct
0.0000 0.0000 0.0000 Sc
0.2500 0.7500 0.5000 C
0.5000 0.5000 0.0000 C
0.7500 0.2500 0.5000 C
```

---

Entry 11:
The following is a PBE calculation of a relaxed structure of Tm2SnHg3, from the Alexandria database.

The distance to the lowest polymorph of the same formula comes out at 0.0 meV/atom. The calculation puts the formation energy at -0.39 eV/atom. As for the volume: 24.621 A^3/atom. The crystal system is hexagonal. The calculation puts the magnetic moment at 0.000 μB per formula unit. The symmetry is P6_3/mmc.

Cell and atoms, written as POSCAR:
```
Tm2SnHg3
1.0
7.3563 0.0000 0.0000
0.0000 8.3406 -4.8154
0.0000 0.0000 9.6309
Tm Sn Hg
8 4 12
direct
0.2500 0.0000 0.0000 Tm
0.7500 0.0000 0.0000 Tm
0.2500 0.4948 0.9896 Tm
0.2500 0.4948 0.5052 Tm
0.2500 0.0104 0.5052 Tm
0.7500 0.5052 0.0104 Tm
0.7500 0.5052 0.4948 Tm
0.7500 0.9896 0.4948 Tm
0.0392 0.6667 0.3333 Sn
0.9608 0.3333 0.6667 Sn
0.5392 0.3333 0.6667 Sn
0.4608 0.6667 0.3333 Sn
0.9519 0.8346 0.6692 Hg
0.9519 0.8346 0.1654 Hg
0.9519 0.3308 0.1654 Hg
0.0481 0.1654 0.3308 Hg
0.0481 0.1654 0.8346 Hg
0.0481 0.6692 0.8346 Hg
0.4519 0.1654 0.3308 Hg
0.4519 0.1654 0.8346 Hg
0.4519 0.6692 0.8346 Hg
0.5481 0.8346 0.6692 Hg
0.5481 0.8346 0.1654 Hg
0.5481 0.3308 0.1654 Hg
```

---

Entry 12:
The following is a PBE calculation of a relaxed structure of Tb4HgRu3, from the Alexandria database.

The calculation puts the formation energy at -0.36 eV/atom. As for the volume: 21.298 A^3/atom. The crystal system is tetragonal. The calculation puts the magnetic moment at 0.000 μB per formula unit. The symmetry is P4/mmm.

Cell and atoms, written as POSCAR:
```
Tb4HgRu3
1.0
-0.4931 4.8202 0.7534
-6.3343 -0.1522 -3.1720
-4.2833 -1.7885 8.6393
Ru Tb Hg
6 8 2
direct
0.0000 0.0000 0.0000 Ru
0.0000 0.0000 0.5000 Ru
0.5002 0.0000 0.7500 Ru
0.4998 0.0000 0.2500 Ru
0.5002 0.5000 0.7500 Ru
0.4998 0.5000 0.2500 Ru
0.5000 0.7640 0.0000 Tb
0.5000 0.7640 0.5000 Tb
0.5000 0.2360 0.0000 Tb
0.5000 0.2360 0.5000 Tb
0.0001 0.7640 0.7500 Tb
0.9999 0.7640 0.2500 Tb
0.9999 0.2360 0.2500 Tb
0.0001 0.2360 0.7500 Tb
0.0000 0.5000 0.0000 Hg
0.0000 0.5000 0.5000 Hg
```

---

Entry 13:
The following is a PBE calculation of a relaxed structure of Sc2CdGa, from the Alexandria database.

The calculation puts the formation energy at -0.44 eV/atom. As for the volume: 20.473 A^3/atom. The crystal system is cubic. The calculation puts the magnetic moment at 0.000 μB per formula unit. The symmetry is Fm-3m.

Cell and atoms, written as POSCAR:
```
Sc2CdGa
1.0
-0.3991 4.5814 -1.6159
-4.0269 1.4111 -2.3564
-3.1224 3.0742 2.1354
Sc Ga Cd
2 1 1
direct
0.0000 0.0000 0.0000 Sc
0.5000 0.5000 0.5000 Sc
0.2500 0.2500 0.2500 Ga
0.7500 0.7500 0.7500 Cd
```

---

Entry 14:
The following is a PBE calculation of a relaxed structure of CdPb2, from the Alexandria database.

The distance to the lowest polymorph of the same formula comes out at 19.6 meV/atom. The calculation puts the formation energy at 0.05 eV/atom. As for the volume: 29.414 A^3/atom. The crystal system is hexagonal. The calculation puts the magnetic moment at 0.000 μB per formula unit. The symmetry is P6_3/mmc.

Cell and atoms, written as POSCAR:
```
CdPb2
1.0
5.3944 0.0000 0.0000
-2.6972 4.6717 0.0000
0.0000 0.0000 7.0033
Cd Pb
2 4
direct
0.3333 0.6667 0.2500 Cd
0.6667 0.3333 0.7500 Cd
0.0000 0.0000 0.0000 Pb
0.0000 0.0000 0.5000 Pb
0.3333 0.6667 0.7500 Pb
0.6667 0.3333 0.2500 Pb
```

---

Entry 15:
The following is a PBE calculation of a relaxed structure of Fe2Co3Rh, from the Alexandria database.

The calculation puts the formation energy at 0.04 eV/atom. As for the volume: 12.052 A^3/atom. The crystal system is monoclinic. The calculation puts the magnetic moment at 11.651 μB per formula unit. The symmetry is C2/m.

Cell and atoms, written as POSCAR:
```
Fe2Co3Rh
1.0
4.0736 0.0000 0.0000
-2.0368 5.3570 -3.0344
0.0000 -0.6900 7.0179
Fe Co Rh
4 6 2
direct
0.5311 0.0622 0.8588 Fe
0.4689 0.9378 0.1412 Fe
0.7891 0.5783 0.1374 Fe
0.2109 0.4217 0.8626 Fe
0.2861 0.5722 0.5979 Co
0.9631 0.9262 0.6261 Co
0.6175 0.2349 0.6296 Co
0.3825 0.7651 0.3704 Co
0.0369 0.0738 0.3739 Co
0.7139 0.4278 0.4021 Co
0.8679 0.7359 0.8734 Rh
0.1321 0.2641 0.1266 Rh
```

---

Entry 16:
The following is a PBE calculation of a relaxed structure of Ba2H2S, from the Alexandria database.

The distance to the lowest polymorph of the same formula comes out at 42.5 meV/atom. As for the volume: 26.103 A^3/atom. The crystal system is hexagonal. The calculation puts the magnetic moment at 0.000 μB per formula unit. The symmetry is P6_3/mmc.

Cell and atoms, written as POSCAR:
```
Ba2H2S
1.0
-1.5014 -4.1465 -0.6964
4.1154 0.6435 1.6068
-5.4437 -0.3974 14.1018
Ba H S
4 4 2
direct
0.6667 0.3333 0.3781 Ba
0.3333 0.6667 0.8781 Ba
0.3333 0.6667 0.6219 Ba
0.6667 0.3333 0.1219 Ba
0.3333 0.6667 0.4430 H
0.6667 0.3333 0.9430 H
0.6667 0.3333 0.5570 H
0.3333 0.6667 0.0570 H
0.0000 0.0000 0.7500 S
0.0000 0.0000 0.2500 S
```

---

Entry 17:
The following is a PBE calculation of a relaxed structure of In2Au3, from the Alexandria database.

The distance to the lowest polymorph of the same formula comes out at 43.0 meV/atom. The calculation puts the formation energy at -0.12 eV/atom. As for the volume: 22.046 A^3/atom. The crystal system is orthorhombic. The calculation puts the magnetic moment at 0.000 μB per formula unit. The symmetry is Fddd.

Cell and atoms, written as POSCAR:
```
In2Au3
1.0
0.0000 4.8711 10.8769
2.0805 0.0000 10.8769
2.0805 4.8711 0.0000
In Au
4 6
direct
0.5424 0.3425 0.9578 In
0.1573 0.9578 0.3425 In
0.9075 0.7076 0.0927 In
0.2922 0.0927 0.7076 In
0.5022 0.3019 0.4980 Au
0.6979 0.4980 0.3019 Au
0.9481 0.7478 0.5521 Au
0.7520 0.5521 0.7478 Au
0.1002 0.8998 0.8998 Au
0.3502 0.1498 0.1498 Au
```

---

Entry 18:
The following is a PBE calculation of a relaxed structure of BeCrSb, from the Alexandria database.

The calculation puts the formation energy from raw total energies at 0.50 eV per atom. The distance to the lowest polymorph of the same formula comes out at 196.8 meV/atom. As for the volume: 15.095 A^3/atom. The crystal system is hexagonal. The calculation puts the magnetic moment at 1.846 μB per formula unit. The symmetry is P-6m2.

Cell and atoms, written as POSCAR:
```
BeCrSb
1.0
-2.4449 1.8724 -2.3930
-1.3357 -2.8278 2.3301
-0.6275 2.3212 2.4573
Sb Be Cr
1 1 1
direct
0.6667 0.3333 0.6665 Sb
0.0000 0.0000 0.1671 Be
0.3333 0.6667 0.1664 Cr
```

---

Entry 19:
The following is a PBE calculation of a relaxed structure of CrAu3, from the Alexandria database.

The calculation puts the formation energy at 0.09 eV/atom. As for the volume: 17.548 A^3/atom. The crystal system is monoclinic. The calculation puts the magnetic moment at 4.065 μB per formula unit. The symmetry is C2/m.

Cell and atoms, written as POSCAR:
```
CrAu3
1.0
5.0293 0.0146 -0.0021
4.0500 2.9820 -0.0021
-10.1338 -3.3446 4.7036
Cr Au
1 3
direct
0.0000 0.0000 0.2500 Cr
0.0143 0.0143 0.0073 Au
0.9857 0.9857 0.4927 Au
0.0000 0.0000 0.7500 Au
```

---

Entry 20:
The following is a PBE calculation of a relaxed structure of SrCu3Re, from the Alexandria database.

The distance to the lowest polymorph of the same formula comes out at 0.0 meV/atom. The calculation puts the formation energy at 0.70 eV/atom. As for the volume: 21.767 A^3/atom. The crystal system is cubic. The calculation puts the magnetic moment at 0.009 μB per formula unit. The symmetry is Pm-3m.

Cell and atoms, written as POSCAR:
```
SrCu3Re
1.0
-2.4688 3.9901 -0.8831
-1.3158 0.2007 4.5852
3.8690 2.6143 0.9958
Re Cu Sr
1 3 1
direct
0.0000 0.0000 0.0000 Re
0.0000 0.5000 0.0000 Cu
0.0000 0.0000 0.5000 Cu
0.5000 0.0000 0.0000 Cu
0.5000 0.5000 0.5000 Sr
```